The following is a DFT calculation (PBE) of a relaxed structure of Np2SnSb.

a = 3.1876 Å, b = 3.1876 Å, c = 33.0723 Å
α = 90.00°, β = 90.00°, γ = 120.00°
Space group R-3m (No. 166, hexagonal axes)
Asymmetric unit:
Np 0.0000 0.0000 0.2505 [6 per cell]
Sn 0.0000 0.0000 0.5000 [3 per cell]
Sb 0.0000 0.0000 0.0000 [3 per cell]

Values from the calculation:
- Total moment: 7.80 μB per formula unit
- Calculated volume: 291 Å³ per cell
- DOS at the Fermi energy: 2.043 states/eV/atom
- Formation energy from raw total energies: 44 kJ/mol of formula units
- E above lowest polymorph: 190.3 meV/atom

***

The following is a DFT calculation (PBE) of a relaxed structure of NpSn2Sb.

a = 3.2572 Å, b = 3.2572 Å, c = 34.7917 Å
α = 90.00°, β = 90.00°, γ = 120.00°
Space group R-3m (No. 166, hexagonal axes)
Asymmetric unit:
Np 0.0000 0.0000 0.0000 [3 per cell]
Sn 0.0000 0.0000 0.4117 [6 per cell]
Sb 0.0000 0.0000 0.5000 [3 per cell]

Values from the calculation:
- Total moment: 4.06 μB per formula unit
- Calculated volume: 320 Å³ per cell
- DOS at the Fermi energy: 1.581 states/eV/atom
- Formation energy from raw total energies: 56 kJ/mol of formula units
- E above lowest polymorph: 293.3 meV/atom

***

The following is a DFT calculation (PBE) of a relaxed structure of NpSn2Sb3.

a = 4.397 Å, b = 11.290 Å, c = 6.937 Å
α = 90.00°, β = 90.00°, γ = 90.00°
Space group Pmc2_1 (No. 26)
Asymmetric unit:
Np 0.000 0.114 0.000 [2 per cell]
Sn 0.000 0.178 0.455 [2 per cell]
Sn 0.500 0.457 0.520 [2 per cell]
Sb 0.000 0.361 0.759 [2 per cell]
Sb 0.500 0.035 0.709 [2 per cell]
Sb 0.500 0.288 0.170 [2 per cell]

Values from the calculation:
- Total moment: 3.61 μB per formula unit
- Calculated volume: 344 Å³ per cell
- DOS at the Fermi energy: 1.880 states/eV/atom
- Formation energy from raw total energies: -53 kJ/mol of formula units

***

The following is a DFT calculation (PBE) of a relaxed structure of Np2SnSb3.

a = 4.353 Å, b = 6.237 Å, c = 13.670 Å
α = 90.00°, β = 90.00°, γ = 90.00°
Space group Immm (No. 71)
Asymmetric unit:
Np 0.000 0.000 0.164 [4 per cell]
Sn 0.000 0.000 0.500 [2 per cell]
Sb 0.000 0.500 0.174 [4 per cell]
Sb 0.000 0.500 0.500 [2 per cell]

Values from the calculation:
- Total moment: 7.10 μB per formula unit
- Calculated volume: 371 Å³ per cell
- DOS at the Fermi energy: 4.121 states/eV/atom
- Formation energy from raw total energies: -15 kJ/mol of formula units